Entry 1:
Material: YCl3
Method: DFT, PBE-GGA
State: optimized geometry

a = 3.7345 Å, b = 3.7345 Å, c = 6.1102 Å
α = 90.00°, β = 90.00°, γ = 90.00°
Last column: nearest neighbours and their distance in Å.
Fractional coordinates of all 4 atoms:
Y1 0.0000 0.0000 0.0000  10 Cl 2.99-3.06
Cl1 0.0000 0.0000 0.5000  2 Y 3.06, 8 Cl 3.12
Cl2 0.5000 0.5000 0.2295  5 Cl 2.80-3.12, 4 Y 2.99
Cl3 0.5000 0.5000 0.7705  5 Cl 2.80-3.12, 4 Y 2.99

Results
DFT total energy = -4.51 eV per atom
Calculated density = 3.80 g/cm3
Symmetry = P4/mmm (123)
Raw formation energy = -6.04 eV/f.u.

=====

Entry 2:
Material: Y5Cl
Method: DFT, PBE-GGA
State: optimized geometry

a = 6.0825 Å, b = 6.0825 Å, c = 8.9463 Å
α = 105.20°, β = 105.20°, γ = 34.63°
Last column: nearest neighbours and their distance in Å.
Fractional coordinates of all 6 atoms:
Y1 0.0000 0.0000 0.0000  11 Y 3.47-3.65
Y2 0.0670 0.0670 0.4203  3 Cl 3.04-3.31
Y3 0.3072 0.3072 0.1704  2 Cl 2.82
Y4 0.3942 0.3942 0.6578  2 Cl 2.83
Y5 0.6882 0.6882 0.8026  10 Y 3.30-3.68
Cl1 0.8033 0.8033 0.4106  5 Y 2.82-3.04

Results
Polymorph energy (0 for the lowest one) = 0 meV per atom
DFT total energy = -6.04 eV per atom
Calculated density = 4.41 g/cm3
Symmetry = Cm (8)
Raw formation energy = -2.06 eV/f.u.

=====

Entry 3:
Material: Y4Cl
Method: DFT, PBE-GGA
State: optimized geometry

a = 5.2993 Å, b = 5.2993 Å, c = 5.2993 Å
α = 90.00°, β = 90.00°, γ = 90.00°
Last column: nearest neighbours and their distance in Å.
Fractional coordinates of all 5 atoms:
Y1 0.0000 0.0000 0.0000  12 Y 3.75
Y2 0.0000 0.5000 0.5000  2 Cl 2.65
Y3 0.5000 0.0000 0.5000  2 Cl 2.65
Y4 0.5000 0.5000 0.0000  2 Cl 2.65
Cl1 0.5000 0.5000 0.5000  6 Y 2.65

Results
DFT total energy = -6.00 eV per atom
Calculated density = 4.36 g/cm3
Symmetry = Pm-3m (221)
Raw formation energy = -2.31 eV/f.u.

=====

Entry 4:
Material: YCl3
Method: DFT, PBE-GGA
State: optimized geometry

a = 9.3331 Å, b = 9.3331 Å, c = 9.3331 Å
α = 147.45°, β = 147.45°, γ = 46.70°
Last column: nearest neighbours and their distance in Å.
Fractional coordinates of all 8 atoms:
Y1 0.0000 0.0000 0.0000  4 Cl 2.63
Y2 0.7500 0.2500 0.5000  4 Cl 2.63
Cl1 0.0268 0.6250 0.9018  2 Y 2.63
Cl2 0.2500 0.7500 0.5000  4 Cl 3.10
Cl3 0.3750 0.2768 0.4018  2 Y 2.63
Cl4 0.5000 0.5000 0.0000  4 Cl 3.10
Cl5 0.7232 0.1250 0.0982  2 Y 2.63
Cl6 0.8750 0.9732 0.5982  2 Y 2.63

Results
DFT total energy = -4.55 eV per atom
Calculated density = 2.77 g/cm3
Symmetry = I-42d (122)
Raw formation energy = -6.19 eV/f.u.